1.
{"formula": "SrScCo2", "functional": "PBE-GGA", "state": "relaxed", "lattice_angstrom": [[1.9526, 1.1273, 7.1007], [-1.9526, 1.1273, 7.1007], [0.0000, -2.2547, 7.1007]], "species": ["Sr", "Sc", "Co", "Co"], "frac_coords": [[0.0000, 0.0000, 0.0000], [0.1755, 0.1755, 0.1755], [0.4393, 0.4393, 0.4393], [0.7732, 0.7732, 0.7732]], "de_polymorph_mev_per_atom": 0.0}

2.
{"formula": "SrScCo2", "functional": "PBE-GGA", "state": "relaxed", "lattice_angstrom": [[-2.3856, 2.3856, 8.2285], [2.3856, -2.3856, 8.2285], [2.3856, 2.3856, -8.2285]], "species": ["Sr", "Sr", "Sc", "Sc", "Co", "Co", "Co", "Co"], "frac_coords": [[0.3750, 0.6250, 0.7500], [0.6250, 0.3750, 0.2500], [0.1250, 0.8750, 0.2500], [0.8750, 0.1250, 0.7500], [0.0000, 0.0000, 0.0000], [0.0000, 0.0000, 0.5000], [0.0000, 0.5000, 0.0000], [0.5000, 0.0000, 0.5000]], "de_polymorph_mev_per_atom": 481.6}

3.
{"formula": "SrSc2Co", "functional": "PBE-GGA", "state": "relaxed", "lattice_angstrom": [[1.8502, 1.0682, 9.8935], [-1.8502, 1.0682, 9.8935], [0.0000, -2.1365, 9.8935]], "species": ["Sr", "Sc", "Sc", "Co"], "frac_coords": [[0.0000, 0.0000, 0.0000], [0.1228, 0.1228, 0.1228], [0.8772, 0.8772, 0.8772], [0.5000, 0.5000, 0.5000]], "de_polymorph_mev_per_atom": 143.6}

4.
{"formula": "Sr2ScCo", "functional": "PBE-GGA", "state": "relaxed", "lattice_angstrom": [[-5.7278, 5.7278, 2.3132], [5.7278, -5.7278, 2.3132], [5.7278, 5.7278, -2.3132]], "species": ["Sr", "Sr", "Sr", "Sr", "Sc", "Sc", "Co", "Co"], "frac_coords": [[0.3750, 0.0399, 0.1649], [0.7899, 0.6250, 0.6649], [0.8750, 0.2101, 0.8351], [0.9601, 0.1250, 0.3351], [0.2500, 0.7500, 0.5000], [0.5000, 0.5000, 0.0000], [0.0000, 0.0000, 0.0000], [0.7500, 0.2500, 0.5000]], "de_polymorph_mev_per_atom": 208.8}

5.
{"formula": "Sr2ScCo", "functional": "PBE-GGA", "state": "relaxed", "lattice_angstrom": [[3.6462, 0.0000, 0.0000], [0.0000, 3.6462, 0.0000], [0.0000, 0.0000, 9.1248]], "species": ["Sr", "Sr", "Sc", "Co"], "frac_coords": [[0.0000, 0.0000, 0.1963], [0.0000, 0.0000, 0.8037], [0.5000, 0.5000, 0.5000], [0.5000, 0.5000, 0.0000]], "de_polymorph_mev_per_atom": 381.2}

6.
{"formula": "SrSc2Co", "functional": "PBE-GGA", "state": "relaxed", "lattice_angstrom": [[1.9331, 1.1161, 8.5162], [-1.9331, 1.1161, 8.5162], [0.0000, -2.2321, 8.5162]], "species": ["Sr", "Sc", "Sc", "Co"], "frac_coords": [[0.0000, 0.0000, 0.0000], [0.2130, 0.2130, 0.2130], [0.7870, 0.7870, 0.7870], [0.5000, 0.5000, 0.5000]], "de_polymorph_mev_per_atom": 22.1}

7.
{"formula": "SrScCo2", "functional": "PBE-GGA", "state": "relaxed", "lattice_angstrom": [[-1.8654, 2.0594, 6.0489], [1.8654, -2.0594, 6.0489], [1.8654, 2.0594, -6.0489]], "species": ["Sr", "Sc", "Co", "Co"], "frac_coords": [[0.0000, 0.0000, 0.0000], [0.7442, 0.2442, 0.5000], [0.2771, 0.7771, 0.5000], [0.3711, 0.3711, 0.0000]], "de_polymorph_mev_per_atom": 161.9}

8.
{"formula": "SrSc2Co", "functional": "PBE-GGA", "state": "relaxed", "lattice_angstrom": [[3.7948, 0.0000, 0.0000], [0.0000, 3.5345, 0.0000], [-1.8922, 0.0000, 7.8769]], "species": ["Sr", "Sc", "Sc", "Co"], "frac_coords": [[0.0000, 0.0000, 0.0000], [0.3033, 0.0000, 0.6108], [0.6784, 0.5000, 0.3601], [0.8270, 0.5000, 0.6591]], "de_polymorph_mev_per_atom": 48.8}

| no. | energy of formation from the pure elements (eV/atom) |
| --- | --- |
| 1 | 0.010 |
| 2 | 0.492 |
| 3 | 0.150 |
| 4 | 0.344 |
| 5 | 0.517 |
| 6 | 0.028 |
| 7 | 0.172 |
| 8 | 0.055 |